Entry 1:
# LiNbSiOs

An optimized crystal structure of LiNbSiOs (GGA-PBE, OQMD via LeMat-Bulk).

Lattice parameters (Å, degrees): 4.2922 4.2922 4.2922 60.00 60.00 60.00
Closest atoms and distances in Å follow each position.
Element x y z (fractional)
Li (0.0000, 0.0000, 0.0000)  4 Nb 2.63, 4 Si 2.63
Nb (0.7500, 0.7500, 0.7500)  4 Li 2.63, 4 Os 2.63
Si (0.2500, 0.2500, 0.2500)  4 Os 2.63, 4 Li 2.63
Os (0.5000, 0.5000, 0.5000)  4 Nb 2.63, 4 Si 2.63

Values from the calculation:
Excess energy over the best structure of this formula in the dataset in meV/atom: 0

Entry 2:
# KRbInAu3

An optimized crystal structure of KRbInAu3 (GGA-PBE, OQMD via LeMat-Bulk).

Lattice parameters (Å, degrees): 5.6842 6.8814 9.1027 90.00 90.00 90.00
Closest atoms and distances in Å follow each position.
Element x y z (fractional)
K (0.2500, 0.0000, 0.1312)  6 Au 3.44-3.65, 2 K 3.71
K (0.7500, 0.0000, 0.8688)  6 Au 3.44-3.65, 2 K 3.71
Rb (0.2500, 0.5000, 0.3666)  10 Au 3.58-3.92, 2 Rb 3.74, 2 In 3.90
Rb (0.7500, 0.5000, 0.6334)  10 Au 3.58-3.92, 2 Rb 3.74, 2 In 3.90
In (0.2500, 0.5000, 0.9263)  2 Au 2.72
In (0.7500, 0.5000, 0.0737)  2 Au 2.72
Au (0.0000, 0.0000, 0.5000)  6 Au 2.84-2.87
Au (0.2500, 0.2081, 0.7246)  1 In 2.72, 3 Au 2.86-2.87
Au (0.2500, 0.7919, 0.7246)  1 In 2.72, 3 Au 2.86-2.87
Au (0.5000, 0.0000, 0.5000)  6 Au 2.84-2.87
Au (0.7500, 0.2081, 0.2754)  1 In 2.72, 3 Au 2.86-2.87
Au (0.7500, 0.7919, 0.2754)  1 In 2.72, 3 Au 2.86-2.87

Values from the calculation:
Excess energy over the best structure of this formula in the dataset in meV/atom: 0

Entry 3:
# SiB2Au2

An optimized crystal structure of SiB2Au2 (GGA-PBE, OQMD via LeMat-Bulk).

Lattice parameters (Å, degrees): 7.6026 7.6026 7.6026 157.26 157.26 32.38
Closest atoms and distances in Å follow each position.
Element x y z (fractional)
Si (0.0000, 0.0000, 0.0000)  8 Au 2.81, 4 Si 3.00
B (0.2500, 0.7500, 0.5000)  4 B 2.12, 4 Au 2.34
B (0.7500, 0.2500, 0.5000)  4 B 2.12, 4 Au 2.34
Au (0.3732, 0.3732, 0.0000)  4 B 2.34
Au (0.6268, 0.6268, 0.0000)  4 B 2.34

Values from the calculation:
Excess energy over the best structure of this formula in the dataset in meV/atom: 70

Entry 4:
# YSc2Ag2

An optimized crystal structure of YSc2Ag2 (GGA-PBE, OQMD via LeMat-Bulk).

Lattice parameters (Å, degrees): 7.0620 7.0620 7.0620 144.12 144.12 51.65
Closest atoms and distances in Å follow each position.
Element x y z (fractional)
Y (0.0000, 0.0000, 0.0000)  8 Sc 3.40
Sc (0.3854, 0.3854, 0.0000)  4 Ag 2.77, 1 Sc 2.91
Sc (0.6146, 0.6146, 0.0000)  4 Ag 2.77, 1 Sc 2.91
Ag (0.2500, 0.7500, 0.5000)  4 Sc 2.77, 4 Ag 3.08
Ag (0.7500, 0.2500, 0.5000)  4 Sc 2.77, 4 Ag 3.08

Values from the calculation:
Formation enthalpy at 0 K in eV/atom: 0.08

Entry 5:
# HoHICl

An optimized crystal structure of HoHICl (GGA-PBE, OQMD via LeMat-Bulk).

Lattice parameters (Å, degrees): 3.8489 3.8489 14.9780 90.00 90.00 120.00
Closest atoms and distances in Å follow each position.
Element x y z (fractional)
Ho (0.0000, 0.0000, 0.0000)  3 H 2.22
Ho (0.0000, 0.0000, 0.5000)  3 H 2.22
H (0.3333, 0.6667, 0.4960)  3 Ho 2.22
H (0.6667, 0.3333, 0.9960)  3 Ho 2.22
I (0.3333, 0.6667, 0.8559)  3 H 3.06, 3 Ho 3.10
I (0.6667, 0.3333, 0.3559)  3 H 3.06, 3 Ho 3.10
Cl (0.3333, 0.6667, 0.1126)  3 Ho 2.79, 3 H 2.83
Cl (0.6667, 0.3333, 0.6126)  3 Ho 2.79, 3 H 2.83

Values from the calculation:
Excess energy over the best structure of this formula in the dataset in meV/atom: 0

Entry 6:
# La3Si2Ni4Ge2

An optimized crystal structure of La3Si2Ni4Ge2 (GGA-PBE, OQMD via LeMat-Bulk).

Lattice parameters (Å, degrees): 12.3387 12.3387 12.3387 160.63 160.47 27.64
Closest atoms and distances in Å follow each position.
Element x y z (fractional)
La (0.0000, 0.0000, 0.0000)  8 Ge 3.22, 4 Ni 3.23
La (0.3484, 0.8484, 0.5000)  8 Ni 3.13-3.17, 2 Ge 3.13, 4 Si 3.18
La (0.6516, 0.1516, 0.5000)  8 Ni 3.13-3.17, 2 Ge 3.13, 4 Si 3.18
Si (0.2020, 0.7020, 0.5000)  5 Ni 2.36-2.40
Si (0.7980, 0.2980, 0.5000)  5 Ni 2.36-2.40
Ni (0.1033, 0.6033, 0.5000)  1 Si 2.36, 2 Ge 2.41
Ni (0.2488, 0.2488, 0.0000)  4 Si 2.36-2.40
Ni (0.7512, 0.7512, 0.0000)  4 Si 2.36-2.40
Ni (0.8967, 0.3967, 0.5000)  1 Si 2.36, 2 Ge 2.41
Ge (0.4463, 0.4463, 0.0000)  2 Ni 2.41, 1 Ge 2.57
Ge (0.5537, 0.5537, 0.0000)  2 Ni 2.41, 1 Ge 2.57

Values from the calculation:
DFT total energy in eV per atom: -5.960

Entry 7:
# Fe2Co

An optimized crystal structure of Fe2Co (GGA-PBE, OQMD via LeMat-Bulk).

Lattice parameters (Å, degrees): 4.5996 4.5996 4.5996 60.00 60.00 60.00
Closest atoms and distances in Å follow each position.
Element x y z (fractional)
Fe (0.0000, 0.0000, 0.0000)  6 Fe 2.30
Fe (0.0000, 0.0000, 0.5000)  6 Fe 2.30
Fe (0.0000, 0.5000, 0.0000)  6 Fe 2.30
Fe (0.5000, 0.0000, 0.0000)  6 Fe 2.30
Co (0.3750, 0.3750, 0.3750)  12 Fe 2.70, 4 Co 2.82
Co (0.6250, 0.6250, 0.6250)  12 Fe 2.70, 4 Co 2.82

Values from the calculation:
Formation enthalpy at 0 K in eV/atom: 0.20

Entry 8:
# NbCuTcAs

An optimized crystal structure of NbCuTcAs (GGA-PBE, OQMD via LeMat-Bulk).

Lattice parameters (Å, degrees): 4.3641 4.3641 4.3641 60.00 60.00 60.00
Closest atoms and distances in Å follow each position.
Element x y z (fractional)
Nb (0.0000, 0.0000, 0.0000)  4 As 2.67, 4 Cu 2.67
Cu (0.2500, 0.2500, 0.2500)  4 Nb 2.67, 4 Tc 2.67
Tc (0.5000, 0.5000, 0.5000)  4 As 2.67, 4 Cu 2.67
As (0.7500, 0.7500, 0.7500)  4 Tc 2.67, 4 Nb 2.67

Values from the calculation:
Excess energy over the best structure of this formula in the dataset in meV/atom: 0

Entry 9:
# Na2HgOsS4

An optimized crystal structure of Na2HgOsS4 (GGA-PBE, OQMD via LeMat-Bulk).

Lattice parameters (Å, degrees): 6.7434 6.7434 6.4874 118.74 118.74 94.22
Closest atoms and distances in Å follow each position.
Element x y z (fractional)
Na (0.0000, 0.0000, 0.0000)  4 S 2.91
Na (0.7510, 0.2490, 0.5000)  4 S 2.76
Hg (0.2496, 0.7504, 0.5000)  4 S 2.61
Os (0.5004, 0.4996, 0.0000)  4 S 2.22
S (0.1869, 0.4154, 0.0189)  1 Os 2.22
S (0.3973, 0.1680, 0.5834)  1 Os 2.22
S (0.5846, 0.8131, 0.9811)  1 Os 2.22
S (0.8320, 0.6027, 0.4166)  1 Os 2.22

Values from the calculation:
Excess energy over the best structure of this formula in the dataset in meV/atom: 6

Entry 10:
# DyTlB4

An optimized crystal structure of DyTlB4 (GGA-PBE, OQMD via LeMat-Bulk).

Lattice parameters (Å, degrees): 3.2057 3.2057 9.0900 90.00 90.00 120.00
Closest atoms and distances in Å follow each position.
Element x y z (fractional)
Dy (0.0000, 0.0000, 0.0000)  12 B 2.66
Tl (0.0000, 0.0000, 0.5000)  6 Tl 3.21, 12 B 3.22
B (0.3333, 0.6667, 0.2096)  3 B 1.85
B (0.3333, 0.6667, 0.7904)  3 B 1.85
B (0.6667, 0.3333, 0.2096)  3 B 1.85
B (0.6667, 0.3333, 0.7904)  3 B 1.85

Values from the calculation:
Excess energy over the best structure of this formula in the dataset in meV/atom: 106

Entry 11:
# NiBPbAu

An optimized crystal structure of NiBPbAu (GGA-PBE, OQMD via LeMat-Bulk).

Lattice parameters (Å, degrees): 4.5571 4.5571 4.5571 60.00 60.00 60.00
Closest atoms and distances in Å follow each position.
Element x y z (fractional)
Ni (0.0000, 0.0000, 0.0000)  4 B 2.79, 4 Au 2.79
B (0.2500, 0.2500, 0.2500)  4 Pb 2.79, 4 Ni 2.79
Pb (0.5000, 0.5000, 0.5000)  4 B 2.79, 4 Au 2.79
Au (0.7500, 0.7500, 0.7500)  4 Pb 2.79, 4 Ni 2.79

Values from the calculation:
Excess energy over the best structure of this formula in the dataset in meV/atom: 106

Entry 12:
# Cu2Ag3

An optimized crystal structure of Cu2Ag3 (GGA-PBE, OQMD via LeMat-Bulk).

Lattice parameters (Å, degrees): 4.8233 4.8898 7.3755 71.36 71.31 81.30
Closest atoms and distances in Å follow each position.
Element x y z (fractional)
Cu (0.0000, 0.0000, 0.0000)  8 Ag 2.73-2.87, 4 Cu 2.78-2.79
Cu (0.0024, 0.5927, 0.8088)  4 Cu 2.67-2.82, 8 Ag 2.70-2.89
Cu (0.5000, 0.5000, 0.5000)  10 Ag 2.77-2.87, 2 Cu 2.82
Cu (0.9976, 0.4073, 0.1912)  4 Cu 2.67-2.82, 8 Ag 2.70-2.89
Ag (0.0031, 0.7941, 0.3958)  6 Cu 2.77-2.89, 6 Ag 2.79-2.89
Ag (0.4859, 0.3015, 0.8995)  6 Cu 2.70-2.87, 6 Ag 2.79-2.85
Ag (0.4922, 0.8919, 0.7018)  5 Cu 2.73-2.87, 7 Ag 2.79-2.86
Ag (0.5078, 0.1081, 0.2982)  5 Cu 2.73-2.87, 7 Ag 2.79-2.86
Ag (0.5141, 0.6985, 0.1005)  6 Cu 2.70-2.87, 6 Ag 2.79-2.85
Ag (0.9969, 0.2059, 0.6042)  6 Cu 2.77-2.89, 6 Ag 2.79-2.89

Values from the calculation:
Excess energy over the best structure of this formula in the dataset in meV/atom: 65
Formation enthalpy at 0 K in eV/atom: 0.10

What did the eleventh record say?
# NiBPbAu

An optimized crystal structure of NiBPbAu (GGA-PBE, OQMD via LeMat-Bulk).

Lattice parameters (Å, degrees): 4.5571 4.5571 4.5571 60.00 60.00 60.00
Closest atoms and distances in Å follow each position.
Element x y z (fractional)
Ni (0.0000, 0.0000, 0.0000)  4 B 2.79, 4 Au 2.79
B (0.2500, 0.2500, 0.2500)  4 Pb 2.79, 4 Ni 2.79
Pb (0.5000, 0.5000, 0.5000)  4 B 2.79, 4 Au 2.79
Au (0.7500, 0.7500, 0.7500)  4 Pb 2.79, 4 Ni 2.79

Values from the calculation:
Excess energy over the best structure of this formula in the dataset in meV/atom: 106

Question: Number 6 is which compound?
Answer: La3Si2Ni4Ge2